Entry 1:
The following is a PBE calculation of crystalline CaEr2Os at its relaxed geometry, from Alexandria.

Its calculated total energy is -23.06 eV for the cell shown. As for the crystal system: tetragonal. Its energy above the lowest structure with this stoichiometry is 0.0 meV/atom. Its theoretical density is 8.4 g cm⁻³. The energy of formation comes out at -0.177 eV per atom.

Cell lengths 3.407, 3.407, 9.574 Å; angles 90.00, 90.00, 90.00 degrees
Sites, in units of the cell vectors:
Ca (0.000, 0.000, 0.000)
Er (0.500, 0.500, 0.330)
Er (0.500, 0.500, 0.670)
Os (0.000, 0.000, 0.500)

=====

Entry 2:
The following is a PBE calculation of crystalline CaErOs at its relaxed geometry, from Alexandria.

Its calculated total energy is -69.85 eV for the cell shown. As for the crystal system: orthorhombic. Its theoretical density is 7.8 g cm⁻³. The energy of formation comes out at 0.110 eV per atom.

Cell lengths 7.357, 7.357, 7.635 Å; angles 90.00, 90.00, 124.69 degrees
Sites, in units of the cell vectors:
Ca (0.197, 0.803, 0.890)
Ca (0.303, 0.697, 0.390)
Ca (0.697, 0.303, 0.610)
Ca (0.803, 0.197, 0.110)
Er (0.212, 0.288, 0.750)
Er (0.288, 0.212, 0.250)
Er (0.712, 0.788, 0.750)
Er (0.788, 0.712, 0.250)
Os (0.090, 0.910, 0.539)
Os (0.410, 0.590, 0.039)
Os (0.590, 0.410, 0.961)
Os (0.910, 0.090, 0.461)